# Sm5Th3Se8 (PBE, optimized geometry)
data_Sm5Th3Se8
_symmetry_space_group_name_H-M 'P 1'
_symmetry_Int_Tables_number 1
_cell_length_a 8.4371
_cell_length_b 8.4371
_cell_length_c 8.4371
_cell_angle_alpha 58.90
_cell_angle_beta 58.90
_cell_angle_gamma 58.90
loop_
_symmetry_equiv_pos_as_xyz
'x,y,z'
loop_
_atom_site_label
_atom_site_type_symbol
_atom_site_fract_x
_atom_site_fract_y
_atom_site_fract_z
Sm1 Sm 0.0000 0.0000 0.0000
Sm2 Sm 0.0000 0.5000 0.5000
Sm3 Sm 0.5000 0.0000 0.5000
Sm4 Sm 0.5000 0.5000 0.0000
Sm5 Sm 0.5000 0.5000 0.5000
Th1 Th 0.0000 0.0000 0.5000
Th2 Th 0.0000 0.5000 0.0000
Th3 Th 0.5000 0.0000 0.0000
Se1 Se 0.2499 0.2499 0.7466
Se2 Se 0.2499 0.7466 0.2499
Se3 Se 0.2521 0.2521 0.2521
Se4 Se 0.2534 0.7501 0.7501
Se5 Se 0.7466 0.2499 0.2499
Se6 Se 0.7479 0.7479 0.7479
Se7 Se 0.7501 0.2534 0.7501
Se8 Se 0.7501 0.7501 0.2534
# - Final energy: -6.315 eV per atom
# - Symmetry: R-3m
# - DOS(E_F): 8.1 states/eV/cell